Material: CoReRu2
Method: DFT, GGA-PBEsol
State: relaxed

The structure in CIF format:
```
data_CoReRu2
_space_group_name_H-M_alt 'R -3 m'
_space_group_IT_number 166
_space_group_name_Hall '-R 3 2"'
_cell_length_a 2.6618
_cell_length_b 2.6618
_cell_length_c 25.5657
_cell_angle_alpha 90.00
_cell_angle_beta 90.00
_cell_angle_gamma 120.00
loop_
_atom_site_label
_atom_site_type_symbol
_atom_site_fract_x
_atom_site_fract_y
_atom_site_fract_z
Co1 Co 0.0000 0.0000 0.0000
Re1 Re 0.0000 0.0000 0.5000
Ru1 Ru 0.0000 0.0000 0.2528
```

## Properties
spin magnetization	1.33	μB per formula unit
calculated total energy	-122.415	eV per cell
relative energy among the computed polymorphs	17	meV/atom
formation energy	152	meV per atom